No. 1
LaPaBiN2 after structural relaxation, computed with PBE.

Values from the calculation:
- Raw total energy: -8.43 eV/atom
- Crystal system: orthorhombic
- Calculated density: 8.829 g cm⁻³

Cell: 5.693 5.765 7.530 Å, 112.51 90.00 90.00°
Sites, in units of the cell vectors:
La 0.250 0.591 0.181
La 0.750 0.409 0.819
N 0.000 0.770 0.000
N 0.500 0.770 0.000
N 0.500 0.230 0.000
N 0.000 0.230 0.000
Pa 0.750 0.073 0.145
Pa 0.250 0.927 0.855
Bi 0.250 0.251 0.501
Bi 0.750 0.749 0.499

***

No. 2
La2PaBi2N2 after structural relaxation, computed with PBE.

Values from the calculation:
- Raw total energy: -7.38 eV/atom
- Crystal system: tetragonal
- Calculated density: 9.255 g cm⁻³

Cell: 4.473 4.473 9.128 Å, 104.18 104.18 90.00°
Sites, in units of the cell vectors:
Pa 0.000 0.000 0.000
La 0.609 0.609 0.217
La 0.391 0.391 0.783
Bi 0.809 0.809 0.619
Bi 0.191 0.191 0.381
N 0.000 0.500 0.000
N 0.500 0.000 0.000

***

No. 3
La7BiPb2N2 after structural relaxation, computed with PBE.

Values from the calculation:
- Raw total energy: -6.12 eV/atom
- Crystal system: monoclinic
- Calculated density: 7.693 g cm⁻³

Cell: 5.094 5.094 13.980 Å, 79.47 79.47 89.97°
Sites, in units of the cell vectors:
Pb 0.819 0.819 0.362
Pb 0.181 0.181 0.638
N 0.399 0.399 0.201
N 0.601 0.601 0.799
La 0.406 0.906 0.186
La 0.500 0.500 0.000
La 0.594 0.094 0.814
La 0.906 0.406 0.186
La 0.306 0.306 0.387
La 0.694 0.694 0.613
La 0.094 0.594 0.814
Bi 0.000 0.000 0.000

***

Calculated values (kJ/mol of formula units) of energy relative to the elements, uncorrected for the records, taken in order: -692 -765 -1061.
Calculated values (Å³/atom) of volume for the records, taken in order: 22.83 24.47 29.21.
Calculated values (states/eV/cell) of DOS(E_F) for the records, taken in order: 1.82 3.95 5.83.